1.
Below is ZnPS2I after structural relaxation, with properties calculated at the PBE-GGA level.

Lattice parameters (Å, degrees): 5.058 5.058 5.313 90.00 90.00 90.00
Sites, in units of the cell vectors:
S  0.500  0.000  0.000
S  0.000  0.500  0.000
I  0.000  0.000  0.000
P  0.000  0.000  0.500
Zn  0.500  0.500  0.500

Summary:
Energy relative to the lowest polymorph listed for this composition = 0.451 eV per atom
Raw formation energy = 1183.1 meV/atom
Raw total energy = -10.57 eV per cell

=====

2.
Below is ZnPS2I after structural relaxation, with properties calculated at the PBE-GGA level.

Lattice parameters (Å, degrees): 4.641 4.641 4.976 90.00 90.00 90.00
Sites, in units of the cell vectors:
S  0.500  0.000  0.000
S  0.000  0.500  0.000
Zn  0.000  0.000  0.000
P  0.000  0.000  0.500
I  0.500  0.500  0.500

Summary:
Energy relative to the lowest polymorph listed for this composition = 0.000 eV per atom
Raw formation energy = 732.1 meV/atom
Raw total energy = -12.83 eV per cell

=====

3.
Below is ZrPS2I after structural relaxation, with properties calculated at the PBE-GGA level.

Lattice parameters (Å, degrees): 4.912 4.912 5.146 90.00 90.00 90.00
Sites, in units of the cell vectors:
S  0.500  0.000  0.000
S  0.000  0.500  0.000
Zr  0.500  0.500  0.500
I  0.000  0.000  0.000
P  0.000  0.000  0.500

Summary:
Energy relative to the lowest polymorph listed for this composition = 1.066 eV per atom
Raw formation energy = 975.9 meV/atom
Raw total energy = -18.88 eV per cell